# BaHo3Te6

An optimized crystal structure of BaHo3Te6 (PBE, the Alexandria database).

Computed properties:
Energy relative to the elements, uncorrected in eV/atom: -1.350
Final energy in eV per atom: -4.80

Unit cell a=12.7426 b=4.4718 c=13.0487 alpha=90.00 beta=109.23 gamma=90.00
With the nearest neighbours (Å) after each atom.
Space group P2_1/m (No. 11)
Inequivalent atoms, fractional coordinates:
Ba  0.0532  0.2500  0.1978 (multiplicity 2)  8 Te 3.52-3.65
Ho  0.1547  0.2500  0.5846 (multiplicity 2)  6 Te 3.02-3.10
Ho  0.3239  0.7500  0.0025 (multiplicity 2)  7 Te 3.10-3.28
Ho  0.4500  0.2500  0.3385 (multiplicity 2)  6 Te 3.06-3.13
Te  0.0853  0.7500  0.4141 (multiplicity 2)  3 Ho 3.06-3.07
Te  0.1435  0.2500  0.9675 (multiplicity 2)  2 Ho 3.13
Te  0.2110  0.7500  0.7497 (multiplicity 2)  3 Ho 3.02-3.13
Te  0.2835  0.7500  0.2333 (multiplicity 2)  3 Ho 3.08-3.22
Te  0.3841  0.2500  0.5495 (multiplicity 2)  4 Ho 3.09-3.13
Te  0.4883  0.2500  0.1191 (multiplicity 2)  4 Ho 3.06-3.28

***

# Ba3Ho3TmTe8

An optimized crystal structure of Ba3Ho3TmTe8 (PBE, the Alexandria database).

Computed properties:
Energy relative to the elements, uncorrected in eV/atom: -1.514
Final energy in eV per atom: -4.79

Unit cell a=8.9541 b=8.9541 c=23.9752 alpha=90.00 beta=90.00 gamma=120.00
With the nearest neighbours (Å) after each atom.
Space group R-3m (No. 166, hexagonal axes)
Inequivalent atoms, fractional coordinates:
Ba  0.0000  0.5000  0.0000 (multiplicity 9)  6 Te 3.45-3.46
Ho  0.0000  0.5000  0.5000 (multiplicity 9)  6 Te 3.09-3.10
Tm  0.0000  0.0000  0.5000 (multiplicity 3)  6 Te 3.11
Te  0.0000  0.0000  0.2382 (multiplicity 6)  3 Ho 3.10, 3 Ba 3.45
Te  0.0022  0.5011  0.7622 (multiplicity 18)  2 Ho 3.09, 1 Tm 3.11, 2 Ba 3.46

***

# Ba3Y3HoTe8

An optimized crystal structure of Ba3Y3HoTe8 (PBE, the Alexandria database).

Computed properties:
Energy relative to the elements, uncorrected in eV/atom: -1.543
Final energy in eV per atom: -5.20

Unit cell a=15.5805 b=8.9993 c=9.5316 alpha=90.00 beta=122.98 gamma=90.00
With the nearest neighbours (Å) after each atom.
Space group C2/m (No. 12)
Inequivalent atoms, fractional coordinates:
Ba  0.0000  0.0000  0.0000 (multiplicity 2)  6 Te 3.45-3.46
Ba  0.2500  0.2500  0.0000 (multiplicity 4)  6 Te 3.45-3.46
Y  0.0000  0.5000  0.5000 (multiplicity 2)  6 Te 3.11-3.12
Y  0.2500  0.2500  0.5000 (multiplicity 4)  6 Te 3.11-3.12
Ho  0.0000  0.0000  0.5000 (multiplicity 2)  6 Te 3.13
Te  0.0122  0.2520  0.2846 (multiplicity 8)  2 Y 3.11, 1 Ho 3.13, 2 Ba 3.46
Te  0.2388  0.5000  0.7164 (multiplicity 4)  3 Y 3.12, 3 Ba 3.45
Te  0.2396  0.0000  0.7153 (multiplicity 4)  2 Y 3.11, 1 Ho 3.13, 2 Ba 3.46

***

# Ba2HoZnTe5

An optimized crystal structure of Ba2HoZnTe5 (PBE, the Alexandria database).

Computed properties:
Energy relative to the elements, uncorrected in eV/atom: -1.239
Final energy in eV per atom: -4.06

Unit cell a=4.5367 b=20.3079 c=14.0251 alpha=90.00 beta=90.00 gamma=90.00
With the nearest neighbours (Å) after each atom.
Space group Cmc2_1 (No. 36)
Inequivalent atoms, fractional coordinates:
Ba  0.0000  0.1199  0.0000 (multiplicity 4)  7 Te 3.46-3.66
Ba  0.0000  0.1243  0.6318 (multiplicity 4)  7 Te 3.47-3.74
Ho  0.0000  0.2024  0.3259 (multiplicity 4)  6 Te 3.02-3.14
Zn  0.0000  0.4356  0.7406 (multiplicity 4)  4 Te 2.64-2.79
Te  0.0000  0.0486  0.3445 (multiplicity 4)  2 Zn 2.72
Te  0.0000  0.2984  0.9729 (multiplicity 4)  2 Ho 3.07
Te  0.0000  0.3060  0.6745 (multiplicity 4)  1 Zn 2.79, 2 Ho 3.11
Te  0.0000  0.3511  0.3181 (multiplicity 4)  1 Ho 3.02
Te  0.0000  0.4998  0.0777 (multiplicity 4)  1 Zn 2.64

***

# BaHoTl

An optimized crystal structure of BaHoTl (PBE, the Alexandria database).

Computed properties:
Polymorph energy (0 for the lowest one) in meV per atom: 0
Final energy in eV per atom: -3.24

Unit cell a=5.2541 b=5.2541 c=8.2686 alpha=90.00 beta=90.00 gamma=90.00
With the nearest neighbours (Å) after each atom.
Space group P4/nmm (No. 129, origin choice 2)
Inequivalent atoms, fractional coordinates:
Ba  0.2500  0.2500  0.1399 (multiplicity 2)  5 Tl 3.53-3.91
Ho  0.2500  0.7500  0.5000 (multiplicity 2)  4 Tl 3.16
Tl  0.2500  0.2500  0.7131 (multiplicity 2)  4 Ho 3.16, 1 Ba 3.53

***

# BaHo4Tl5

An optimized crystal structure of BaHo4Tl5 (PBE, the Alexandria database).

Computed properties:
Final energy in eV per atom: -3.54

Unit cell a=3.8495 b=3.8495 c=19.6425 alpha=90.00 beta=90.00 gamma=90.00
With the nearest neighbours (Å) after each atom.
Space group P4/mmm (No. 123)
Inequivalent atoms, fractional coordinates:
Ba  0.0000  0.0000  0.0000 (multiplicity 1)  8 Tl 3.68, 4 Ba 3.85
Ho  0.0000  0.0000  0.2175 (multiplicity 2)  8 Tl 3.26-3.30
Ho  0.0000  0.0000  0.4062 (multiplicity 2)  8 Tl 3.28-3.29
Tl  0.5000  0.5000  0.1261 (multiplicity 2)  4 Ho 3.26
Tl  0.5000  0.5000  0.3129 (multiplicity 2)  8 Ho 3.28-3.30, 1 Tl 3.67
Tl  0.5000  0.5000  0.5000 (multiplicity 1)  8 Ho 3.29, 2 Tl 3.68